Entry from Alexandria: RbSmAs2O6 after structural relaxation (PBE).

a b c (Å): 7.104 7.104 7.104
angles (deg): 49.37 49.37 49.37
Element x y z (fractional)
Rb: 0.000 0.000 0.000
Sm: 0.500 0.500 0.500
As: 0.266 0.266 0.266
As: 0.734 0.734 0.734
O: 0.068 0.522 0.698
O: 0.302 0.932 0.478
O: 0.478 0.302 0.932
O: 0.522 0.698 0.068
O: 0.698 0.068 0.522
O: 0.932 0.478 0.302

Properties
Its formation energy without anion corrections is -1759.0 meV/atom. The density of states at the Fermi level is 0.054 states/eV per atom. The value obtained for the size of the total moment is 2.01 μB/f.u.

Entry from Alexandria: RbSmAs2O8 after structural relaxation (PBE).

a b c (Å): 5.919 5.919 8.171
angles (deg): 90.00 90.00 120.00
Element x y z (fractional)
Rb: 0.000 0.000 0.000
Sm: 0.000 0.000 0.500
As: 0.333 0.667 0.742
As: 0.667 0.333 0.258
O: 0.172 0.822 0.677
O: 0.178 0.350 0.677
O: 0.333 0.667 0.954
O: 0.350 0.172 0.323
O: 0.650 0.828 0.677
O: 0.667 0.333 0.046
O: 0.822 0.650 0.323
O: 0.828 0.178 0.323

Properties
Its formation energy without anion corrections is -1578.5 meV/atom. The density of states at the Fermi level is 1.002 states/eV per atom. The value obtained for the size of the total moment is 2.04 μB/f.u.

- Which formula does entry 2 have?
  RbSmAs2O8